1.
Below is Tl3NiTe2O9 after structural relaxation, with properties calculated at the PBE+U level.

Properties
magnetization: 0.14 μB per atom
space-group type: P-3m1 (164)
DOS at the Fermi energy: 7.96 states/eV per cell
energy: -71.42 eV/cell

abc: 5.7532 5.7532 7.0941
angles: 90.00 90.00 120.00
Fractional positions:
Tl (0.0000, 0.0000, 0.0000)
Tl (0.3333, 0.6667, 0.6564)
Tl (0.6667, 0.3333, 0.3436)
Ni (0.0000, 0.0000, 0.5000)
Te (0.3333, 0.6667, 0.1760)
Te (0.6667, 0.3333, 0.8240)
O (0.0000, 0.5000, 0.0000)
O (0.1701, 0.3403, 0.3218)
O (0.1701, 0.8299, 0.3218)
O (0.3403, 0.1701, 0.6782)
O (0.5000, 0.0000, 0.0000)
O (0.5000, 0.5000, 0.0000)
O (0.6597, 0.8299, 0.3218)
O (0.8299, 0.1701, 0.6782)
O (0.8299, 0.6597, 0.6782)

---

2.
Below is MnTlF3 after structural relaxation, with properties calculated at the PBE+U level.

Properties
magnetization: 1.00 μB per atom
space-group type: Aem2 (39)
DOS at the Fermi energy: 0.00 states/eV per cell
energy: -53.16 eV/cell

abc: 7.7830 4.6896 4.6896
angles: 89.96 90.00 90.00
Fractional positions:
Mn (0.0000, 0.0000, 0.0000)
Mn (0.0000, 0.5000, 0.5000)
Tl (0.4135, 0.5016, 0.0016)
Tl (0.5865, 0.0016, 0.5016)
F (0.0100, 0.5019, 0.0019)
F (0.2552, 0.0022, 0.0020)
F (0.2552, 0.5020, 0.5022)
F (0.7448, 0.0020, 0.0022)
F (0.7448, 0.5022, 0.5020)
F (0.9900, 0.0019, 0.5019)